<P>
Density functional theory data (PBE) for NbV3S after structural relaxation.

```
NbV3S
1.0
-2.5478 -2.4812 3.6345
-0.3088 -3.9814 -2.9338
5.2366 -2.0696 2.2579
Nb V S
2 6 2
Direct
0.4842 0.3686 0.7008 Nb
0.9842 0.9841 0.2008 Nb
0.8579 0.0172 0.7008 V
0.9370 0.4372 0.9506 V
0.9371 0.4372 0.4509 V
0.4370 0.9156 0.9510 V
0.4370 0.9156 0.4506 V
0.3578 0.3356 0.2008 V
0.6620 0.6483 0.2008 S
0.1621 0.7044 0.7008 S
```

N(E_F) in states/eV per atom: 0.541

<Q>
Density functional theory data (PBE) for NbV3S after structural relaxation.

```
NbV3S
1.0
-1.6283 -3.1457 2.9676
4.2552 -1.7312 0.4997
0.7716 2.9088 3.5067
V S Nb
3 1 1
Direct
0.5000 0.0000 0.0000 V
0.0000 0.0000 0.5000 V
0.0000 0.5000 0.0000 V
0.5000 0.5000 0.5000 S
0.0000 0.0000 0.0000 Nb
```

N(E_F) in states/eV per atom: 1.411

The data favor <P>; the next most stable structure lies 1.720 eV/atom above it.